The following is a DFT calculation (GGA-PBE) of a relaxed AlRhO2F crystal.

The structure in CIF format:
```
data_AlRhO2F
_chemical_formula_sum 'Al1 Rh1 O2 F1'
_cell_length_a 3.954
_cell_length_b 3.954
_cell_length_c 4.146
_cell_angle_alpha 90.00
_cell_angle_beta 90.00
_cell_angle_gamma 90.00
_space_group_name_H-M_alt 'P 4/m m m'
_space_group_IT_number 123
_space_group_name_Hall '-P 4 2'
loop_
_atom_site_label
_atom_site_type_symbol
_atom_site_fract_x
_atom_site_fract_y
_atom_site_fract_z
_atom_site_occupancy
Al1 Al 0.000 0.000 0.000 1
Rh1 Rh 0.500 0.500 0.500 1
O1 O 0.000 0.500 0.500 1
F1 F 0.500 0.500 0.000 1
```

Its density of states at the Fermi level is 3.7 states/eV per cell. As for the total DFT energy (no corrections): -5.150 eV per atom. The formation energy from raw total energies comes out at -574 meV/atom. As for the crystal system: tetragonal.


The following is a DFT calculation (GGA-PBE) of a relaxed AlRuOF2 crystal.

The structure in CIF format:
```
data_AlRuOF2
_chemical_formula_sum 'Al1 Ru1 O1 F2'
_cell_length_a 3.947
_cell_length_b 3.947
_cell_length_c 3.603
_cell_angle_alpha 90.00
_cell_angle_beta 90.00
_cell_angle_gamma 90.00
_space_group_name_H-M_alt 'P 4/m m m'
_space_group_IT_number 123
_space_group_name_Hall '-P 4 2'
loop_
_atom_site_label
_atom_site_type_symbol
_atom_site_fract_x
_atom_site_fract_y
_atom_site_fract_z
_atom_site_occupancy
Al1 Al 0.000 0.000 0.000 1
Ru1 Ru 0.500 0.500 0.500 1
O1 O 0.000 0.000 0.500 1
F1 F 0.000 0.500 0.000 1
```

Its density of states at the Fermi level is 2.2 states/eV per cell. Its energy above the most stable polymorph in this dataset is 0.000 eV/atom. As for the total DFT energy (no corrections): -5.773 eV per atom. The formation energy from raw total energies comes out at -1430 meV/atom. As for the crystal system: tetragonal.


The following is a DFT calculation (GGA-PBE) of a relaxed AlRuOF2 crystal.

The structure in CIF format:
```
data_AlRuOF2
_chemical_formula_sum 'Al1 Ru1 O1 F2'
_cell_length_a 4.417
_cell_length_b 4.417
_cell_length_c 3.736
_cell_angle_alpha 90.00
_cell_angle_beta 90.00
_cell_angle_gamma 90.00
_space_group_name_H-M_alt 'P 4/m m m'
_space_group_IT_number 123
_space_group_name_Hall '-P 4 2'
loop_
_atom_site_label
_atom_site_type_symbol
_atom_site_fract_x
_atom_site_fract_y
_atom_site_fract_z
_atom_site_occupancy
Al1 Al 0.000 0.000 0.000 1
Ru1 Ru 0.500 0.500 0.500 1
O1 O 0.500 0.500 0.000 1
F1 F 0.000 0.500 0.500 1
```

Its density of states at the Fermi level is 2.5 states/eV per cell. Its energy above the most stable polymorph in this dataset is 0.507 eV/atom. As for the total DFT energy (no corrections): -5.267 eV per atom. The formation energy from raw total energies comes out at -923 meV/atom. As for the crystal system: tetragonal.


The following is a DFT calculation (GGA-PBE) of a relaxed AlSO2F crystal.

The structure in CIF format:
```
data_AlSO2F
_chemical_formula_sum 'Al1 S1 O2 F1'
_cell_length_a 3.512
_cell_length_b 3.512
_cell_length_c 5.991
_cell_angle_alpha 90.00
_cell_angle_beta 90.00
_cell_angle_gamma 90.00
_space_group_name_H-M_alt 'P 4/m m m'
_space_group_IT_number 123
_space_group_name_Hall '-P 4 2'
loop_
_atom_site_label
_atom_site_type_symbol
_atom_site_fract_x
_atom_site_fract_y
_atom_site_fract_z
_atom_site_occupancy
Al1 Al 0.000 0.000 0.000 1
S1 S 0.500 0.500 0.500 1
O1 O 0.000 0.500 0.500 1
F1 F 0.500 0.500 0.000 1
```

Its density of states at the Fermi level is 3.0 states/eV per cell. As for the total DFT energy (no corrections): -4.290 eV per atom. The formation energy from raw total energies comes out at -359 meV/atom. As for the crystal system: tetragonal.